#1
# Zr2Sc2Sn PBE-GGA optimized geometry
# Crystal system: tetragonal
# Density of states at the Fermi level, states/eV/cell: 7.98
data_Zr2Sc2Sn
_cell_length_a 7.605
_cell_length_b 7.605
_cell_length_c 4.136
_cell_angle_alpha 90.00
_cell_angle_beta 90.00
_cell_angle_gamma 90.00
_space_group_name_H-M_alt 'P 4/m b m'
_space_group_IT_number 127
_space_group_name_Hall '-P 4 2ab'
loop_
_atom_site_label
_atom_site_type_symbol
_atom_site_fract_x
_atom_site_fract_y
_atom_site_fract_z
Zr1 Zr 0.139 0.361 0.000
Sc1 Sc 0.159 0.659 0.500
Sn1 Sn 0.000 0.000 0.000

#2
# Zr2Sc2Sn PBE-GGA optimized geometry
# Crystal system: monoclinic
# Density of states at the Fermi level, states/eV/cell: 9.92
data_Zr2Sc2Sn
_cell_length_a 8.755
_cell_length_b 5.705
_cell_length_c 5.392
_cell_angle_alpha 90.00
_cell_angle_beta 114.77
_cell_angle_gamma 90.00
_space_group_name_H-M_alt 'C 1 2/m 1'
_space_group_IT_number 12
loop_
_space_group_symop_operation_xyz
'x,y,z'
'-x,-y,-z'
'-x,y,-z'
'x,-y,z'
'x+1/2,y+1/2,z'
'-x+1/2,-y+1/2,-z'
'-x+1/2,y+1/2,-z'
'x+1/2,-y+1/2,z'
loop_
_atom_site_label
_atom_site_type_symbol
_atom_site_fract_x
_atom_site_fract_y
_atom_site_fract_z
Zr1 Zr 0.000 0.242 0.000
Sc1 Sc 0.178 0.000 0.599
Sn1 Sn 0.000 0.500 0.500

Tell me which of them is the least stable. Sure, it is #2.

#1
# Sr3Sc PBE-GGA optimized geometry
# Crystal system: tetragonal
# Density of states at the Fermi level, states/eV/cell: 17.12
data_Sr3Sc
_cell_length_a 5.647
_cell_length_b 5.647
_cell_length_c 11.111
_cell_angle_alpha 90.00
_cell_angle_beta 90.00
_cell_angle_gamma 90.00
_space_group_name_H-M_alt 'I 4/m m m'
_space_group_IT_number 139
_space_group_name_Hall '-I 4 2'
loop_
_atom_site_label
_atom_site_type_symbol
_atom_site_fract_x
_atom_site_fract_y
_atom_site_fract_z
Sr1 Sr 0.000 0.000 0.000
Sr2 Sr 0.000 0.500 0.250
Sc1 Sc 0.000 0.000 0.500

#2
# Sr3Sc PBE-GGA optimized geometry
# Crystal system: tetragonal
# Density of states at the Fermi level, states/eV/cell: 5.51
data_Sr3Sc
_cell_length_a 4.172
_cell_length_b 4.172
_cell_length_c 10.122
_cell_angle_alpha 90.00
_cell_angle_beta 90.00
_cell_angle_gamma 90.00
_space_group_name_H-M_alt 'P 4/m m m'
_space_group_IT_number 123
_space_group_name_Hall '-P 4 2'
loop_
_atom_site_label
_atom_site_type_symbol
_atom_site_fract_x
_atom_site_fract_y
_atom_site_fract_z
Sr1 Sr 0.000 0.000 0.000
Sr2 Sr 0.500 0.500 0.293
Sc1 Sc 0.000 0.000 0.500

Tell me which of them is the least stable. Sure, it is #1.

#1
# Sr3Sc PBE-GGA optimized geometry
# Crystal system: orthorhombic
# Density of states at the Fermi level, states/eV/cell: 17.37
data_Sr3Sc
_cell_length_a 6.426
_cell_length_b 7.960
_cell_length_c 6.926
_cell_angle_alpha 90.00
_cell_angle_beta 90.00
_cell_angle_gamma 90.00
_space_group_name_H-M_alt 'P m m n'
_space_group_IT_number 59
loop_
_space_group_symop_operation_xyz
'x,y,z'
'-x,-y,-z'
'-x+1/2,-y+1/2,z'
'x+1/2,y+1/2,-z'
'x+1/2,-y,-z'
'-x+1/2,y,z'
'-x,y+1/2,-z'
'x,-y+1/2,z'
loop_
_atom_site_label
_atom_site_type_symbol
_atom_site_fract_x
_atom_site_fract_y
_atom_site_fract_z
Sr1 Sr 0.250 0.002 0.170
Sr2 Sr 0.250 0.750 0.647
Sc1 Sc 0.250 0.250 0.668

#2
# Sr3Sc PBE-GGA optimized geometry
# Crystal system: orthorhombic
# Density of states at the Fermi level, states/eV/cell: 11.05
data_Sr3Sc
_cell_length_a 4.251
_cell_length_b 12.810
_cell_length_c 6.392
_cell_angle_alpha 90.00
_cell_angle_beta 90.00
_cell_angle_gamma 90.00
_space_group_name_H-M_alt 'I m m 2'
_space_group_IT_number 44
loop_
_space_group_symop_operation_xyz
'x,y,z'
'-x,-y,z'
'-x,y,z'
'x,-y,z'
'x+1/2,y+1/2,z+1/2'
'-x+1/2,-y+1/2,z+1/2'
'-x+1/2,y+1/2,z+1/2'
'x+1/2,-y+1/2,z+1/2'
loop_
_atom_site_label
_atom_site_type_symbol
_atom_site_fract_x
_atom_site_fract_y
_atom_site_fract_z
Sr1 Sr 0.000 0.000 0.000
Sr2 Sr 0.000 0.227 0.499
Sc1 Sc 0.000 0.500 0.000

Tell me which of them is the least stable. Sure, it is #1.